Arrangement i

Nd6TmIn2: optimized geometry, GGA-PBE.

Geometry as CIF:
```
data_Nd6TmIn2
_cell_length_a 13.098
_cell_length_b 3.831
_cell_length_c 12.130
_cell_angle_alpha 90.00
_cell_angle_beta 107.84
_cell_angle_gamma 90.00
_symmetry_space_group_name_H-M 'C 1 2/m 1'
_symmetry_Int_Tables_number 12
loop_
_symmetry_equiv_pos_as_xyz
'x,y,z'
'-x,-y,-z'
'-x,y,-z'
'x,-y,z'
'x+1/2,y+1/2,z'
'-x+1/2,-y+1/2,-z'
'-x+1/2,y+1/2,-z'
'x+1/2,-y+1/2,z'
loop_
_atom_site_label
_atom_site_fract_x
_atom_site_fract_y
_atom_site_fract_z
Nd1 0.021 0.000 0.340
Nd2 0.179 0.500 0.878
Nd3 0.193 0.500 0.593
Tm1 0.000 0.000 0.000
In1 0.140 0.500 0.191
```

---

Arrangement ii

Nd6TmIn2: optimized geometry, GGA-PBE.

Geometry as CIF:
```
data_Nd6TmIn2
_cell_length_a 18.814
_cell_length_b 12.247
_cell_length_c 5.167
_cell_angle_alpha 90.00
_cell_angle_beta 90.00
_cell_angle_gamma 90.00
_symmetry_space_group_name_H-M 'C m c m'
_symmetry_Int_Tables_number 63
_symmetry_space_group_name_Hall '-C 2c 2'
loop_
_atom_site_label
_atom_site_fract_x
_atom_site_fract_y
_atom_site_fract_z
Nd1 0.091 0.085 0.250
Nd2 0.098 0.379 0.250
Nd3 0.198 0.167 0.750
Tm1 0.000 0.215 0.750
In1 0.216 0.426 0.750
```

---

The energy of each structure relative to the most stable one, in kJ/mol of atoms, is as follows: arrangement i 0.0; arrangement ii 11.5.

---

Arrangement i

Nd5TmIn2: optimized geometry, GGA-PBE.

Geometry as CIF:
```
data_Nd5TmIn2
_cell_length_a 3.649
_cell_length_b 11.094
_cell_length_c 12.498
_cell_angle_alpha 90.00
_cell_angle_beta 90.00
_cell_angle_gamma 90.00
_symmetry_space_group_name_H-M 'I m m m'
_symmetry_Int_Tables_number 71
_symmetry_space_group_name_Hall '-I 2 2'
loop_
_atom_site_label
_atom_site_fract_x
_atom_site_fract_y
_atom_site_fract_z
Nd1 0.000 0.000 0.000
Nd2 0.000 0.279 0.361
Tm1 0.000 0.500 0.000
In1 0.000 0.000 0.277
```

---

Arrangement ii

Nd5TmIn2: optimized geometry, GGA-PBE.

Geometry as CIF:
```
data_Nd5TmIn2
_cell_length_a 7.019
_cell_length_b 14.045
_cell_length_c 4.947
_cell_angle_alpha 90.00
_cell_angle_beta 90.00
_cell_angle_gamma 90.00
_symmetry_space_group_name_H-M 'P b a m'
_symmetry_Int_Tables_number 55
loop_
_symmetry_equiv_pos_as_xyz
'x,y,z'
'-x,-y,-z'
'-x,-y,z'
'x,y,-z'
'x+1/2,-y+1/2,-z'
'-x+1/2,y+1/2,z'
'-x+1/2,y+1/2,-z'
'x+1/2,-y+1/2,z'
loop_
_atom_site_label
_atom_site_fract_x
_atom_site_fract_y
_atom_site_fract_z
Nd1 0.000 0.000 0.000
Nd2 0.001 0.253 0.000
Nd3 0.249 0.876 0.500
Tm1 0.000 0.500 0.000
In1 0.245 0.623 0.500
```

---

The energy of each structure relative to the most stable one, in kJ/mol of atoms, is as follows: arrangement i 11.8; arrangement ii 0.0.

---

Arrangement i

Nd2TmIn3: optimized geometry, GGA-PBE.

Geometry as CIF:
```
data_Nd2TmIn3
_cell_length_a 12.343
_cell_length_b 10.158
_cell_length_c 5.827
_cell_angle_alpha 90.00
_cell_angle_beta 90.00
_cell_angle_gamma 90.00
_symmetry_space_group_name_H-M 'C m c m'
_symmetry_Int_Tables_number 63
_symmetry_space_group_name_Hall '-C 2c 2'
loop_
_atom_site_label
_atom_site_fract_x
_atom_site_fract_y
_atom_site_fract_z
Nd1 0.138 0.217 0.250
Tm1 0.000 0.398 0.750
In1 0.000 0.084 0.750
In2 0.208 0.500 0.000
```

---

Arrangement ii

Nd2TmIn3: optimized geometry, GGA-PBE.

Geometry as CIF:
```
data_Nd2TmIn3
_cell_length_a 5.411
_cell_length_b 16.243
_cell_length_c 7.622
_cell_angle_alpha 90.00
_cell_angle_beta 90.00
_cell_angle_gamma 90.00
_symmetry_space_group_name_H-M 'C m m m'
_symmetry_Int_Tables_number 65
_symmetry_space_group_name_Hall '-C 2 2'
loop_
_atom_site_label
_atom_site_fract_x
_atom_site_fract_y
_atom_site_fract_z
Nd1 0.000 0.000 0.000
Nd2 0.000 0.000 0.500
Nd3 0.000 0.337 0.000
Tm1 0.000 0.333 0.500
In1 0.000 0.170 0.261
In2 0.000 0.500 0.261
```

---

The energy of each structure relative to the most stable one, in kJ/mol of atoms, is as follows: arrangement i 24.3; arrangement ii 0.0.

---

Arrangement i

Nd3Tm4In: optimized geometry, GGA-PBE.

Geometry as CIF:
```
data_Nd3Tm4In
_cell_length_a 4.917
_cell_length_b 4.953
_cell_length_c 20.199
_cell_angle_alpha 90.00
_cell_angle_beta 90.00
_cell_angle_gamma 90.00
_symmetry_space_group_name_H-M 'I m m m'
_symmetry_Int_Tables_number 71
_symmetry_space_group_name_Hall '-I 2 2'
loop_
_atom_site_label
_atom_site_fract_x
_atom_site_fract_y
_atom_site_fract_z
Nd1 0.000 0.000 0.000
Nd2 0.000 0.500 0.124
Tm1 0.000 0.000 0.248
Tm2 0.000 0.500 0.375
In1 0.000 0.000 0.500
```

---

Arrangement ii

Nd3Tm4In: optimized geometry, GGA-PBE.

Geometry as CIF:
```
data_Nd3Tm4In
_cell_length_a 11.241
_cell_length_b 7.075
_cell_length_c 6.199
_cell_angle_alpha 90.00
_cell_angle_beta 90.00
_cell_angle_gamma 90.00
_symmetry_space_group_name_H-M 'P m n 21'
_symmetry_Int_Tables_number 31
loop_
_symmetry_equiv_pos_as_xyz
'x,y,z'
'-x+1/2,-y,z+1/2'
'-x,y,z'
'x+1/2,-y,z+1/2'
loop_
_atom_site_label
_atom_site_fract_x
_atom_site_fract_y
_atom_site_fract_z
Nd1 0.000 0.128 0.000
Nd2 0.237 0.117 0.349
Tm1 0.000 0.383 0.541
Tm2 0.000 0.627 0.024
Tm3 0.241 0.622 0.363
In1 0.000 0.856 0.528
```

---

The energy of each structure relative to the most stable one, in kJ/mol of atoms, is as follows: arrangement i 0.9; arrangement ii 0.0.

---

Arrangement i

Nd3Tm2In2: optimized geometry, GGA-PBE.

Geometry as CIF:
```
data_Nd3Tm2In2
_cell_length_a 5.016
_cell_length_b 23.734
_cell_length_c 3.536
_cell_angle_alpha 90.00
_cell_angle_beta 90.00
_cell_angle_gamma 90.00
_symmetry_space_group_name_H-M 'C m m m'
_symmetry_Int_Tables_number 65
_symmetry_space_group_name_Hall '-C 2 2'
loop_
_atom_site_label
_atom_site_fract_x
_atom_site_fract_y
_atom_site_fract_z
Nd1 0.000 0.000 0.000
Nd2 0.000 0.144 0.000
Tm1 0.000 0.287 0.500
In1 0.000 0.429 0.500
```

---

Arrangement ii

Nd3Tm2In2: optimized geometry, GGA-PBE.

Geometry as CIF:
```
data_Nd3Tm2In2
_cell_length_a 13.258
_cell_length_b 3.755
_cell_length_c 8.670
_cell_angle_alpha 90.00
_cell_angle_beta 99.51
_cell_angle_gamma 90.00
_symmetry_space_group_name_H-M 'C 1 2/m 1'
_symmetry_Int_Tables_number 12
loop_
_symmetry_equiv_pos_as_xyz
'x,y,z'
'-x,-y,-z'
'-x,y,-z'
'x,-y,z'
'x+1/2,y+1/2,z'
'-x+1/2,-y+1/2,-z'
'-x+1/2,y+1/2,-z'
'x+1/2,-y+1/2,z'
loop_
_atom_site_label
_atom_site_fract_x
_atom_site_fract_y
_atom_site_fract_z
Nd1 0.000 0.000 0.000
Nd2 0.241 0.500 0.168
Tm1 0.136 0.000 0.446
In1 0.051 0.500 0.708
```

---

The energy of each structure relative to the most stable one, in kJ/mol of atoms, is as follows: arrangement i 8.8; arrangement ii 0.0.

---

Arrangement i

NdTmIn3: optimized geometry, GGA-PBE.

Geometry as CIF:
```
data_NdTmIn3
_cell_length_a 3.697
_cell_length_b 29.553
_cell_length_c 4.914
_cell_angle_alpha 90.00
_cell_angle_beta 90.00
_cell_angle_gamma 90.00
_symmetry_space_group_name_H-M 'C m c m'
_symmetry_Int_Tables_number 63
_symmetry_space_group_name_Hall '-C 2c 2'
loop_
_atom_site_label
_atom_site_fract_x
_atom_site_fract_y
_atom_site_fract_z
Nd1 0.000 0.075 0.250
Tm1 0.000 0.214 0.750
In1 0.000 0.319 0.750
In2 0.000 0.377 0.250
In3 0.000 0.475 0.250
```

---

Arrangement ii

NdTmIn3: optimized geometry, GGA-PBE.

Geometry as CIF:
```
data_NdTmIn3
_cell_length_a 6.381
_cell_length_b 8.310
_cell_length_c 10.967
_cell_angle_alpha 90.00
_cell_angle_beta 90.00
_cell_angle_gamma 90.00
_symmetry_space_group_name_H-M 'I m m a'
_symmetry_Int_Tables_number 74
_symmetry_space_group_name_Hall '-I 2b 2'
loop_
_atom_site_label
_atom_site_fract_x
_atom_site_fract_y
_atom_site_fract_z
Nd1 0.000 0.250 0.014
Tm1 0.000 0.000 0.500
In1 0.000 0.250 0.310
In2 0.250 0.062 0.750
```

---

The energy of each structure relative to the most stable one, in kJ/mol of atoms, is as follows: arrangement i 0.0; arrangement ii 24.2.

---

Arrangement i

Nd4Y3In: optimized geometry, GGA-PBE.

Geometry as CIF:
```
data_Nd4Y3In
_cell_length_a 16.158
_cell_length_b 3.621
_cell_length_c 9.378
_cell_angle_alpha 90.00
_cell_angle_beta 99.42
_cell_angle_gamma 90.00
_symmetry_space_group_name_H-M 'C 1 2/m 1'
_symmetry_Int_Tables_number 12
loop_
_symmetry_equiv_pos_as_xyz
'x,y,z'
'-x,-y,-z'
'-x,y,-z'
'x,-y,z'
'x+1/2,y+1/2,z'
'-x+1/2,-y+1/2,-z'
'-x+1/2,y+1/2,-z'
'x+1/2,-y+1/2,z'
loop_
_atom_site_label
_atom_site_fract_x
_atom_site_fract_y
_atom_site_fract_z
Nd1 0.162 0.000 0.372
Nd2 0.178 0.500 0.063
Y1 0.000 0.000 0.000
Y2 0.132 0.000 0.721
In1 0.000 0.500 0.500
```

---

Arrangement ii

Nd4Y3In: optimized geometry, GGA-PBE.

Geometry as CIF:
```
data_Nd4Y3In
_cell_length_a 10.088
_cell_length_b 7.099
_cell_length_c 7.171
_cell_angle_alpha 90.00
_cell_angle_beta 90.00
_cell_angle_gamma 90.00
_symmetry_space_group_name_H-M 'P m n 21'
_symmetry_Int_Tables_number 31
loop_
_symmetry_equiv_pos_as_xyz
'x,y,z'
'-x+1/2,-y,z+1/2'
'-x,y,z'
'x+1/2,-y,z+1/2'
loop_
_atom_site_label
_atom_site_fract_x
_atom_site_fract_y
_atom_site_fract_z
Nd1 0.000 0.000 0.000
Nd2 0.000 0.499 0.500
Nd3 0.250 0.252 0.750
Y1 0.000 0.500 0.000
Y2 0.250 0.238 0.250
In1 0.000 0.000 0.500
```

---

The energy of each structure relative to the most stable one, in kJ/mol of atoms, is as follows: arrangement i 14.0; arrangement ii 0.0.

---

Arrangement i

Nd3Y4In: optimized geometry, GGA-PBE.

Geometry as CIF:
```
data_Nd3Y4In
_cell_length_a 26.461
_cell_length_b 3.467
_cell_length_c 5.830
_cell_angle_alpha 90.00
_cell_angle_beta 98.20
_cell_angle_gamma 90.00
_symmetry_space_group_name_H-M 'C 1 2/m 1'
_symmetry_Int_Tables_number 12
loop_
_symmetry_equiv_pos_as_xyz
'x,y,z'
'-x,-y,-z'
'-x,y,-z'
'x,-y,z'
'x+1/2,y+1/2,z'
'-x+1/2,-y+1/2,-z'
'-x+1/2,y+1/2,-z'
'x+1/2,-y+1/2,z'
loop_
_atom_site_label
_atom_site_fract_x
_atom_site_fract_y
_atom_site_fract_z
Nd1 0.000 0.000 0.000
Nd2 0.152 0.000 0.198
Y1 0.099 0.000 0.662
Y2 0.217 0.500 0.732
In1 0.000 0.500 0.500
```

---

Arrangement ii

Nd3Y4In: optimized geometry, GGA-PBE.

Geometry as CIF:
```
data_Nd3Y4In
_cell_length_a 11.376
_cell_length_b 7.154
_cell_length_c 6.269
_cell_angle_alpha 90.00
_cell_angle_beta 90.00
_cell_angle_gamma 90.00
_symmetry_space_group_name_H-M 'P m n 21'
_symmetry_Int_Tables_number 31
loop_
_symmetry_equiv_pos_as_xyz
'x,y,z'
'-x+1/2,-y,z+1/2'
'-x,y,z'
'x+1/2,-y,z+1/2'
loop_
_atom_site_label
_atom_site_fract_x
_atom_site_fract_y
_atom_site_fract_z
Nd1 0.000 0.126 0.000
Nd2 0.239 0.113 0.343
Y1 0.000 0.374 0.537
Y2 0.000 0.630 0.017
Y3 0.239 0.624 0.365
In1 0.000 0.861 0.524
```

---

The energy of each structure relative to the most stable one, in kJ/mol of atoms, is as follows: arrangement i 16.9; arrangement ii 0.0.

---

Arrangement i

NdY6In: optimized geometry, GGA-PBE.

Geometry as CIF:
```
data_NdY6In
_cell_length_a 9.3027
_cell_length_b 9.3027
_cell_length_c 10.1745
_cell_angle_alpha 90.00
_cell_angle_beta 90.00
_cell_angle_gamma 120.00
_symmetry_space_group_name_H-M 'R -3'
_symmetry_Int_Tables_number 148
_symmetry_space_group_name_Hall '-R 3'
loop_
_atom_site_label
_atom_site_fract_x
_atom_site_fract_y
_atom_site_fract_z
Nd1 0.0000 0.0000 0.0000
Y1 0.0196 0.7628 0.7204
In1 0.0000 0.0000 0.5000
```

---

Arrangement ii

NdY6In: optimized geometry, GGA-PBE.

Geometry as CIF:
```
data_NdY6In
_cell_length_a 4.937
_cell_length_b 4.937
_cell_length_c 10.152
_cell_angle_alpha 90.00
_cell_angle_beta 90.00
_cell_angle_gamma 90.00
_symmetry_space_group_name_H-M 'P 4/m m m'
_symmetry_Int_Tables_number 123
_symmetry_space_group_name_Hall '-P 4 2'
loop_
_atom_site_label
_atom_site_fract_x
_atom_site_fract_y
_atom_site_fract_z
Nd1 0.000 0.000 0.000
Y1 0.000 0.500 0.259
Y2 0.500 0.500 0.000
Y3 0.500 0.500 0.500
In1 0.000 0.000 0.500
```

---

The energy of each structure relative to the most stable one, in kJ/mol of atoms, is as follows: arrangement i 8.9; arrangement ii 0.0.

---

Arrangement i

NdY2In: optimized geometry, GGA-PBE.

Geometry as CIF:
```
data_NdY2In
_cell_length_a 3.6031
_cell_length_b 3.6031
_cell_length_c 33.1041
_cell_angle_alpha 90.00
_cell_angle_beta 90.00
_cell_angle_gamma 120.00
_symmetry_space_group_name_H-M 'R -3 m'
_symmetry_Int_Tables_number 166
_symmetry_space_group_name_Hall '-R 3 2"'
loop_
_atom_site_label
_atom_site_fract_x
_atom_site_fract_y
_atom_site_fract_z
Nd1 0.0000 0.0000 0.0000
Y1 0.0000 0.0000 0.2439
In1 0.0000 0.0000 0.5000
```

---

Arrangement ii

NdY2In: optimized geometry, GGA-PBE.

Geometry as CIF:
```
data_NdY2In
_cell_length_a 3.633
_cell_length_b 3.633
_cell_length_c 9.228
_cell_angle_alpha 90.00
_cell_angle_beta 90.00
_cell_angle_gamma 90.00
_symmetry_space_group_name_H-M 'P 4/m m m'
_symmetry_Int_Tables_number 123
_symmetry_space_group_name_Hall '-P 4 2'
loop_
_atom_site_label
_atom_site_fract_x
_atom_site_fract_y
_atom_site_fract_z
Nd1 0.000 0.000 0.000
Y1 0.500 0.500 0.279
In1 0.000 0.000 0.500
```

---

The energy of each structure relative to the most stable one, in kJ/mol of atoms, is as follows: arrangement i 9.2; arrangement ii 0.0.

---

Arrangement i

NdY2In: optimized geometry, GGA-PBE.

Geometry as CIF:
```
data_NdY2In
_cell_length_a 4.739
_cell_length_b 4.878
_cell_length_c 11.291
_cell_angle_alpha 90.00
_cell_angle_beta 102.00
_cell_angle_gamma 90.00
_symmetry_space_group_name_H-M 'P 1 21/m 1'
_symmetry_Int_Tables_number 11
loop_
_symmetry_equiv_pos_as_xyz
'x,y,z'
'-x,-y,-z'
'-x,y+1/2,-z'
'x,-y+1/2,z'
loop_
_atom_site_label
_atom_site_fract_x
_atom_site_fract_y
_atom_site_fract_z
Nd1 0.192 0.250 0.387
Y1 0.059 0.750 0.117
Y2 0.435 0.750 0.869
In1 0.340 0.250 0.677
```

---

Arrangement ii

NdY2In: optimized geometry, GGA-PBE.

Geometry as CIF:
```
data_NdY2In
_cell_length_a 3.6457
_cell_length_b 3.6457
_cell_length_c 32.7293
_cell_angle_alpha 90.00
_cell_angle_beta 90.00
_cell_angle_gamma 120.00
_symmetry_space_group_name_H-M 'R 3 m'
_symmetry_Int_Tables_number 160
_symmetry_space_group_name_Hall 'R 3 -2"'
loop_
_atom_site_label
_atom_site_fract_x
_atom_site_fract_y
_atom_site_fract_z
Nd1 0.0000 0.0000 0.0000
Y1 0.0000 0.0000 0.5760
Y2 0.0000 0.0000 0.7575
In1 0.0000 0.0000 0.1664
```

---

The energy of each structure relative to the most stable one, in kJ/mol of atoms, is as follows: arrangement i 0.0; arrangement ii 5.3.